Ca3Nd3Au4: optimized geometry, GGA-PBE.

a = 4.0511 Å, b = 8.3071 Å, c = 8.3071 Å
α = 89.37°, β = 90.00°, γ = 90.00°
Fractional positions:
Ca 0.0000 0.0000 0.0000
Ca 0.5000 0.3363 0.8402
Ca 0.5000 0.8402 0.3363
Nd 0.0000 0.1814 0.4961
Nd 0.0000 0.4961 0.1814
Nd 0.0000 0.6864 0.6864
Au 0.5000 0.2060 0.2060
Au 0.5000 0.4782 0.4782
Au 0.5000 0.6991 0.9767
Au 0.5000 0.9767 0.6991

Output
Calculated formation energy: -0.68 eV per atom
Energy: -4.02 eV per atom
Density of states at the Fermi level: 7.44 states/eV/cell
Symmetry: Amm2 (38)